Record 1
# LaTcSCl2 | the Alexandria database | GGA-PBE | relaxed
data_LaTcSCl2
_cell_length_a 4.765
_cell_length_b 4.765
_cell_length_c 4.707
_cell_angle_alpha 90.00
_cell_angle_beta 90.00
_cell_angle_gamma 90.00
_space_group_name_H-M_alt 'P 4/m m m'
_space_group_IT_number 123
_space_group_name_Hall '-P 4 2'
loop_
_atom_site_label
_atom_site_type_symbol
_atom_site_fract_x
_atom_site_fract_y
_atom_site_fract_z
La1 La 0.000 0.000 0.000
Tc1 Tc 0.500 0.500 0.500
S1 S 0.500 0.500 0.000
Cl1 Cl 0.000 0.500 0.500
# Crystal system: tetragonal
# Spin magnetization in μB per atom: 0.001
# ΔE to the lowest computed polymorph in eV per atom: 0.000
# V in Å³/cell: 107
# Formation energy from raw total energies in eV/atom: -0.74
# E in eV for the cell shown: -26.82

***

Record 2
# La4TcS2Cl | the Alexandria database | GGA-PBE | relaxed
data_La4TcS2Cl
_cell_length_a 7.403
_cell_length_b 3.968
_cell_length_c 7.497
_cell_angle_alpha 90.00
_cell_angle_beta 104.95
_cell_angle_gamma 90.00
_space_group_name_H-M_alt 'P 1 2/m 1'
_space_group_IT_number 10
loop_
_space_group_symop_operation_xyz
'x,y,z'
'-x,-y,-z'
'-x,y,-z'
'x,-y,z'
loop_
_atom_site_label
_atom_site_type_symbol
_atom_site_fract_x
_atom_site_fract_y
_atom_site_fract_z
La1 La 0.241 0.000 0.253
La2 La 0.255 0.500 0.715
Tc1 Tc 0.500 0.500 0.500
S1 S 0.000 0.000 0.500
S2 S 0.000 0.500 0.000
Cl1 Cl 0.500 0.000 0.000
# Crystal system: monoclinic
# Spin magnetization in μB per atom: 0.000
# V in Å³/cell: 213
# Formation energy from raw total energies in eV/atom: -1.39
# E in eV for the cell shown: -51.26